Here is crystalline Mg2AgBiH at its relaxed geometry from the Alexandria database. Energies are from GGA-PBEsol.

abc: 5.2972 5.6747 5.6747
angles: 90.00 90.00 90.00
Closest atoms and distances in Å follow each position.
Fractional coordinates of all 5 atoms:
H (0.5000, 0.5000, 0.5000)  8 Mg 3.88, 4 Ag 4.01
Mg (0.0000, 0.0000, 0.5000)  2 Bi 2.84
Mg (0.0000, 0.5000, 0.0000)  2 Bi 2.84
Bi (0.0000, 0.0000, 0.0000)  2 Ag 2.65, 4 Mg 2.84
Ag (0.5000, 0.0000, 0.0000)  2 Bi 2.65

* total energy: -0.152 Ry/atom
* M_tot: 0.000 μB per cell
* density: 3.6 Mg/m³

Here is crystalline SmClO at its relaxed geometry from the Alexandria database. Energies are from GGA-PBEsol.

abc: 3.9508 3.9508 6.6476
angles: 90.00 90.00 90.00
Closest atoms and distances in Å follow each position.
Fractional coordinates of all 6 atoms:
Sm (0.0000, 0.5000, 0.8260)  4 O 2.29
Sm (0.5000, 0.0000, 0.1740)  4 O 2.29
O (0.0000, 0.0000, 0.0000)  4 Sm 2.29
O (0.5000, 0.5000, 0.0000)  4 Sm 2.29
Cl (0.5000, 0.0000, 0.6268)  5 Sm 3.01-3.09, 4 O 3.17, 4 Cl 3.26
Cl (0.0000, 0.5000, 0.3732)  5 Sm 3.01-3.09, 4 O 3.17, 4 Cl 3.26

* formation energy (no corrections): -3112 meV/atom
* M_tot: 0.000 μB per cell
* density: 6.5 Mg/m³

Here is crystalline TcAg at its relaxed geometry from the Alexandria database. Energies are from GGA-PBEsol.

abc: 4.2422 4.2422 4.6095
angles: 90.00 90.00 120.00
Closest atoms and distances in Å follow each position.
Fractional coordinates of all 4 atoms:
Ag (0.6667, 0.3333, 0.7500)  6 Tc 2.71
Ag (0.3333, 0.6667, 0.2500)  6 Tc 2.71
Tc (0.0000, 0.0000, 0.0000)  2 Tc 2.30
Tc (0.0000, 0.0000, 0.5000)  2 Tc 2.30

* M_tot: 0.001 μB per cell
* density: 9.5 Mg/m³
* energy above the lowest structure with this stoichiometry: 963.3 meV per atom
* DFT formation energy: 1.2300 eV/atom

Here is crystalline HfSc2ReI at its relaxed geometry from the Alexandria database. Energies are from GGA-PBEsol.

abc: 4.6813 5.3282 5.3282
angles: 90.00 90.00 90.00
Closest atoms and distances in Å follow each position.
Fractional coordinates of all 5 atoms:
I (0.5000, 0.5000, 0.5000)  8 Sc 3.55, 4 Re 3.77
Re (0.5000, 0.0000, 0.0000)  2 Hf 2.34
Hf (0.0000, 0.0000, 0.0000)  2 Re 2.34
Sc (0.0000, 0.0000, 0.5000)  2 Hf 2.66
Sc (0.0000, 0.5000, 0.0000)  2 Hf 2.66

* formation energy (no corrections): 1182 meV/atom
* M_tot: 0.000 μB per cell
* density: 7.3 Mg/m³

Here is crystalline Hf6Zn16Cu7 at its relaxed geometry from the Alexandria database. Energies are from GGA-PBEsol.

abc: 8.3866 8.3866 8.3866
angles: 60.00 60.00 60.00
Closest atoms and distances in Å follow each position.
Fractional coordinates of all 29 atoms:
Hf (0.3072, 0.3072, 0.6928)  8 Zn 2.81-3.00, 4 Cu 3.04
Hf (0.6928, 0.3072, 0.6928)  8 Zn 2.81-3.00, 4 Cu 3.04
Hf (0.6928, 0.3072, 0.3072)  8 Zn 2.81-3.00, 4 Cu 3.04
Hf (0.6928, 0.6928, 0.3072)  8 Zn 2.81-3.00, 4 Cu 3.04
Hf (0.3072, 0.6928, 0.3072)  8 Zn 2.81-3.00, 4 Cu 3.04
Hf (0.3072, 0.6928, 0.6928)  8 Zn 2.81-3.00, 4 Cu 3.04
Zn (0.8802, 0.3595, 0.8802)  4 Cu 2.46-2.61, 3 Zn 2.65
Zn (0.8802, 0.8802, 0.3595)  4 Cu 2.46-2.61, 3 Zn 2.65
Zn (0.8802, 0.8802, 0.8802)  4 Cu 2.46-2.61, 3 Zn 2.65
Zn (0.3595, 0.8802, 0.8802)  4 Cu 2.46-2.61, 3 Zn 2.65
Zn (0.1198, 0.6405, 0.1198)  4 Cu 2.46-2.61, 3 Zn 2.65
Zn (0.1198, 0.1198, 0.6405)  4 Cu 2.46-2.61, 3 Zn 2.65
Zn (0.1198, 0.1198, 0.1198)  4 Cu 2.46-2.61, 3 Zn 2.65
Zn (0.6405, 0.1198, 0.1198)  4 Cu 2.46-2.61, 3 Zn 2.65
Zn (0.6667, 0.0000, 0.6667)  3 Cu 2.42, 3 Zn 2.65
Zn (0.6667, 0.6667, 0.0000)  3 Cu 2.42, 3 Zn 2.65
Zn (0.6667, 0.6667, 0.6667)  3 Cu 2.42, 3 Zn 2.65
Zn (0.0000, 0.6667, 0.6667)  3 Cu 2.42, 3 Zn 2.65
Zn (0.3333, 0.0000, 0.3333)  3 Cu 2.42, 3 Zn 2.65
Zn (0.3333, 0.3333, 0.0000)  3 Cu 2.42, 3 Zn 2.65
Zn (0.3333, 0.3333, 0.3333)  3 Cu 2.42, 3 Zn 2.65
Zn (0.0000, 0.3333, 0.3333)  3 Cu 2.42, 3 Zn 2.65
Cu (0.0000, 0.0000, 0.0000)  8 Zn 2.46
Cu (0.5000, 0.5000, 0.0000)  8 Zn 2.42-2.61
Cu (0.0000, 0.5000, 0.0000)  8 Zn 2.42-2.61
Cu (0.0000, 0.5000, 0.5000)  8 Zn 2.42-2.61
Cu (0.0000, 0.0000, 0.5000)  8 Zn 2.42-2.61
Cu (0.5000, 0.0000, 0.5000)  8 Zn 2.42-2.61
Cu (0.5000, 0.0000, 0.0000)  8 Zn 2.42-2.61

* M_tot: 0.002 μB per cell
* density: 10.2 Mg/m³
* DFT formation energy: -0.2251 eV/atom

Here is crystalline NbTcPt2 at its relaxed geometry from the Alexandria database. Energies are from GGA-PBEsol.

abc: 4.4637 4.4637 4.4637
angles: 60.00 60.00 60.00
Closest atoms and distances in Å follow each position.
Fractional coordinates of all 4 atoms:
Nb (0.0000, 0.0000, 0.0000)  8 Pt 2.73
Tc (0.5000, 0.5000, 0.5000)  8 Pt 2.73
Pt (0.2500, 0.2500, 0.2500)  4 Tc 2.73, 4 Nb 2.73
Pt (0.7500, 0.7500, 0.7500)  4 Nb 2.73, 4 Tc 2.73

* M_tot: 0.963 μB per cell
* density: 15.3 Mg/m³
* DFT formation energy: 0.0328 eV/atom

Here is crystalline LiTaO3 at its relaxed geometry from the Alexandria database. Energies are from GGA-PBEsol.

abc: 3.9178 5.3712 5.3712
angles: 90.00 90.00 90.00
Closest atoms and distances in Å follow each position.
Fractional coordinates of all 10 atoms:
Li (0.5000, 0.5000, 0.0000)  4 O 2.38
Li (0.5000, 0.0000, 0.5000)  4 O 2.38
O (0.5000, 0.0000, 0.0000)  2 Ta 1.96
O (0.0000, 0.6769, 0.1769)  2 Ta 1.98
O (0.0000, 0.1769, 0.3231)  2 Ta 1.98
O (0.5000, 0.5000, 0.5000)  2 Ta 1.96
O (0.0000, 0.8231, 0.6769)  2 Ta 1.98
O (0.0000, 0.3231, 0.8231)  2 Ta 1.98
Ta (0.0000, 0.0000, 0.0000)  6 O 1.96-1.98
Ta (0.0000, 0.5000, 0.5000)  6 O 1.96-1.98

* formation energy (no corrections): -2635 meV/atom
* M_tot: 0.000 μB per cell
* density: 6.9 Mg/m³

Here is crystalline VCuAgO4 at its relaxed geometry from the Alexandria database. Energies are from GGA-PBEsol.

abc: 5.3010 6.7536 9.0768
angles: 90.00 90.00 90.00
Closest atoms and distances in Å follow each position.
Fractional coordinates of all 28 atoms:
V (0.0626, 0.2500, 0.3100)  4 O 1.69-1.83
V (0.5626, 0.7500, 0.1900)  4 O 1.69-1.83
V (0.9374, 0.7500, 0.6900)  4 O 1.69-1.83
V (0.4374, 0.2500, 0.8100)  4 O 1.69-1.83
Cu (0.5000, 0.0000, 0.5000)  4 O 1.90-2.01
Cu (0.0000, 0.0000, 0.0000)  4 O 1.90-2.01
Cu (0.5000, 0.5000, 0.5000)  4 O 1.90-2.01
Cu (0.0000, 0.5000, 0.0000)  4 O 1.90-2.01
Ag (0.5222, 0.2500, 0.1382)  4 O 2.24-2.44
Ag (0.0222, 0.7500, 0.3618)  4 O 2.24-2.44
Ag (0.4778, 0.7500, 0.8618)  4 O 2.24-2.44
Ag (0.9778, 0.2500, 0.6382)  4 O 2.24-2.44
O (0.0836, 0.2500, 0.1093)  1 V 1.83, 2 Cu 2.01
O (0.5836, 0.7500, 0.3907)  1 V 1.83, 2 Cu 2.01
O (0.9164, 0.7500, 0.8907)  1 V 1.83, 2 Cu 2.01
O (0.4164, 0.2500, 0.6093)  1 V 1.83, 2 Cu 2.01
O (0.2603, 0.7500, 0.1313)  1 V 1.69
O (0.7603, 0.2500, 0.3687)  1 V 1.69
O (0.7397, 0.2500, 0.8687)  1 V 1.69
O (0.2397, 0.7500, 0.6313)  1 V 1.69
O (0.2174, 0.4558, 0.3757)  1 V 1.72, 1 Cu 1.90
O (0.7174, 0.5442, 0.1243)  1 V 1.72, 1 Cu 1.90
O (0.7826, 0.9558, 0.6243)  1 V 1.72, 1 Cu 1.90
O (0.2826, 0.0442, 0.8757)  1 V 1.72, 1 Cu 1.90
O (0.7826, 0.5442, 0.6243)  1 V 1.72, 1 Cu 1.90
O (0.2826, 0.4558, 0.8757)  1 V 1.72, 1 Cu 1.90
O (0.2174, 0.0442, 0.3757)  1 V 1.72, 1 Cu 1.90
O (0.7174, 0.9558, 0.1243)  1 V 1.72, 1 Cu 1.90

* formation energy (no corrections): -1308 meV/atom
* M_tot: 0.006 μB per cell
* density: 5.9 Mg/m³

Here is crystalline BaZn2Rh at its relaxed geometry from the Alexandria database. Energies are from GGA-PBEsol.

abc: 4.3485 4.3493 6.1142
angles: 69.17 69.17 60.01
Closest atoms and distances in Å follow each position.
Fractional coordinates of all 4 atoms:
Zn (0.0099, 0.0099, 0.9704)  3 Rh 2.52, 3 Zn 2.58
Zn (0.3080, 0.3079, 0.0760)  3 Zn 2.58, 3 Rh 2.62
Rh (0.6862, 0.6861, 0.9414)  6 Zn 2.52-2.62
Ba (0.4959, 0.4961, 0.5122)  4 Zn 3.14-3.50, 4 Rh 3.18-3.47

* M_tot: 0.000 μB per cell
* density: 6.7 Mg/m³
* DFT formation energy: -0.2868 eV/atom

Here is crystalline BeZn3Co at its relaxed geometry from the Alexandria database. Energies are from GGA-PBEsol.

abc: 4.0910 4.0910 4.0910
angles: 90.00 90.00 90.00
Closest atoms and distances in Å follow each position.
Fractional coordinates of all 5 atoms:
Be (0.0000, 0.0000, 0.0000)  6 Zn 2.05
Zn (0.0000, 0.5000, 0.0000)  2 Be 2.05
Zn (0.0000, 0.0000, 0.5000)  2 Be 2.05
Zn (0.5000, 0.0000, 0.0000)  2 Be 2.05
Co (0.5000, 0.5000, 0.5000)  12 Zn 2.89

* M_tot: 1.855 μB per cell
* density: 6.4 Mg/m³
* DFT formation energy: 0.6810 eV/atom

Here is crystalline K2ScRh at its relaxed geometry from the Alexandria database. Energies are from GGA-PBEsol.

abc: 3.0060 3.0060 11.8684
angles: 90.00 90.00 90.00
Closest atoms and distances in Å follow each position.
Fractional coordinates of all 4 atoms:
K (0.0000, 0.0000, 0.7993)  4 K 3.01, 4 Rh 3.19
K (0.0000, 0.0000, 0.2007)  4 K 3.01, 4 Rh 3.19
Rh (0.5000, 0.5000, 0.0000)  4 Rh 3.01, 8 K 3.19
Sc (0.5000, 0.5000, 0.5000)  4 Sc 3.01

* M_tot: 0.570 μB per cell
* density: 3.5 Mg/m³
* energy above the lowest structure with this stoichiometry: 0.0 meV per atom
* DFT formation energy: 0.8733 eV/atom

Here is crystalline Mg2TaSb at its relaxed geometry from the Alexandria database. Energies are from GGA-PBEsol.

abc: 4.8336 4.8336 4.8336
angles: 60.00 60.00 60.00
Closest atoms and distances in Å follow each position.
Fractional coordinates of all 4 atoms:
Mg (0.0000, 0.0000, 0.0000)  4 Ta 2.96, 4 Mg 2.96
Mg (0.7500, 0.7500, 0.7500)  4 Sb 2.96, 4 Mg 2.96
Sb (0.5000, 0.5000, 0.5000)  4 Mg 2.96, 4 Ta 2.96
Ta (0.2500, 0.2500, 0.2500)  4 Sb 2.96, 4 Mg 2.96

* formation energy (no corrections): 381 meV/atom
* M_tot: 0.000 μB per cell
* density: 7.3 Mg/m³